! PBE with a Hubbard U Cs2MnCdO4, optimized geometry; values from VASP
&SYSTEM
  ibrav = 0, nat = 16, ntyp = 4
/
ATOMIC_SPECIES
Cs 132.91 Cs.upf
Mn 54.94 Mn.upf
Cd 112.41 Cd.upf
O 16.00 O.upf
CELL_PARAMETERS angstrom
5.8204 0.0000 0.0000
2.9102 6.2762 0.0000
2.9102 0.0000 10.9368
ATOMIC_POSITIONS crystal
Cs 0.1788 0.0000 0.6423
Cs 0.8212 0.0000 0.3577
Cs 0.5712 0.5000 0.8577
Cs 0.9288 0.5000 0.1423
Mn 0.2500 0.5000 0.5000
Mn 0.5000 0.0000 0.0000
Cd 0.7500 0.5000 0.5000
Cd 0.0000 0.0000 0.0000
O 0.3359 0.8330 0.0821
O 0.2509 0.1670 0.9179
O 0.8312 0.8330 0.9179
O 0.5821 0.1670 0.0821
O 0.4141 0.6670 0.4179
O 0.4991 0.3330 0.5821
O 0.9188 0.6670 0.5821
O 0.1679 0.3330 0.4179
! crystal system	orthorhombic
! space group	Fddd, No. 70
! total DFT energy (no corrections)	-4.9142	eV per atom